Material: NpBe2O6
Method: DFT, PBE
State: optimized geometry

## Properties
- Total magnetic moment: 0.112 μB/atom
- E: -7.70 eV per atom
- V: 11.1 A^3/atom
- Space-group type: No. 2

Cell: 3.8000 5.1631 5.6324 Å, 72.11 87.37 72.06°
Last column: nearest neighbours and their distance in Å.
Fractional coordinates of all 9 atoms:
Np 0.0000 0.0000 0.0000  2 O 1.87
Be 0.1839 0.5299 0.6630  4 O 1.61-1.70
Be 0.8161 0.4701 0.3370  4 O 1.61-1.70
O 0.1003 0.8200 0.7522  1 Be 1.66
O 0.1891 0.5749 0.3675  2 Be 1.61-1.70
O 0.3862 0.2475 0.8890  1 Be 1.61
O 0.6138 0.7525 0.1110  1 Be 1.61
O 0.8109 0.4251 0.6325  2 Be 1.61-1.70
O 0.8997 0.1800 0.2478  1 Be 1.66